# Rb2DyP2S6 (PBE, relaxed)
data_Rb2DyP2S6
_chemical_formula_sum 'Rb4 Dy2 P4 S12'
_cell_length_a 11.9463
_cell_length_b 6.9449
_cell_length_c 8.0959
_cell_angle_alpha 90.00
_cell_angle_beta 118.32
_cell_angle_gamma 90.00
_space_group_name_H-M_alt 'C 1 2/m 1'
_space_group_IT_number 12
_space_group_name_Hall '-C 2y'
loop_
_atom_site_label
_atom_site_fract_x
_atom_site_fract_y
_atom_site_fract_z
Rb1 0.2134 0.0000 0.1938
Dy1 0.0000 0.0000 0.5000
P1 0.0512 0.5000 0.1803
S1 0.0367 0.2558 0.7856
S2 0.2475 0.5000 0.3694
# crystal system: monoclinic
# raw formation energy: -890 meV per atom
# total DFT energy (no corrections): -4.719 eV/atom